# 1
Compound: YFe2Ir2
Source: the Alexandria database
Functional: PBE
Structure: relaxed

Results
**Energy of formation from the pure elements**: -0.127 eV per atom
**Total energy**: -8.35 eV/atom
**Symmetry**: No. 127
**Excess energy over the best structure of this formula in the dataset**: 0.0558 eV per atom

Lattice parameters (Å, degrees): 7.4426 7.4426 2.8005 90.00 90.00 90.00
Last column: magnetic moment on the atom in μB.
Element x y z (fractional)
1 Y 0.5000 0.5000 0.0000  -0.06
2 Y 0.0000 0.0000 0.0000  -0.06
3 Ir 0.8217 0.3217 0.5000  0.13
4 Ir 0.1783 0.6783 0.5000  0.13
5 Fe 0.6136 0.1136 0.0000  2.24
6 Ir 0.6783 0.8217 0.5000  0.13
7 Fe 0.3864 0.8864 0.0000  2.24
8 Ir 0.3217 0.1783 0.5000  0.13
9 Fe 0.8864 0.6136 0.0000  2.23
10 Fe 0.1136 0.3864 0.0000  2.23

# 2
Compound: YFeIr2
Source: the Alexandria database
Functional: PBE
Structure: relaxed

Results
**Energy of formation from the pure elements**: -0.084 eV per atom
**Total energy**: -8.25 eV/atom
**Symmetry**: No. 119

Lattice parameters (Å, degrees): 5.0747 5.0747 5.0747 133.81 133.81 67.39
Last column: magnetic moment on the atom in μB.
Element x y z (fractional)
1 Ir 0.2500 0.7500 0.5000  0.07
2 Y 0.5000 0.5000 0.0000  -0.05
3 Fe 0.7500 0.2500 0.5000  2.76
4 Ir 0.0000 0.0000 0.0000  0.01

# 3
Compound: ZnFeIr2
Source: the Alexandria database
Functional: PBE
Structure: relaxed

Results
**Energy of formation from the pure elements**: -0.089 eV per atom
**Total energy**: -6.95 eV/atom
**Symmetry**: No. 123

Lattice parameters (Å, degrees): 2.7426 2.7426 7.2403 90.00 90.00 90.00
Last column: magnetic moment on the atom in μB.
Element x y z (fractional)
1 Zn 0.5000 0.5000 0.2500  0.00
2 Ir 0.0000 0.0000 0.5156  -0.01
3 Fe 0.5000 0.5000 0.7500  1.99
4 Ir 0.0000 0.0000 0.9844  -0.01

# 4
Compound: ZnFe2Ir
Source: the Alexandria database
Functional: PBE
Structure: relaxed

Results
**Energy of formation from the pure elements**: 0.003 eV per atom
**Total energy**: -6.76 eV/atom
**Symmetry**: No. 139

Lattice parameters (Å, degrees): 4.6301 4.6301 4.6301 132.64 132.64 69.21
Last column: magnetic moment on the atom in μB.
Element x y z (fractional)
1 Ir 0.2500 0.7500 0.5000  0.56
2 Fe 0.5000 0.5000 0.0000  2.70
3 Zn 0.7500 0.2500 0.5000  -0.05
4 Fe 0.0000 0.0000 0.0000  2.70

# 5
Compound: ZnFe2Ir
Source: the Alexandria database
Functional: PBE
Structure: relaxed

Results
**Energy of formation from the pure elements**: 0.713 eV per atom
**Total energy**: -6.05 eV/atom
**Symmetry**: No. 122

Lattice parameters (Å, degrees): 6.6807 6.6807 5.3436 51.31 51.31 90.00
Element x y z (fractional)
1 Ir 0.0000 0.0000 0.0000
2 Fe 0.8750 0.9005 0.7500
3 Fe 0.3750 0.3495 0.7500
4 Ir 0.7500 0.2500 0.5000
5 Fe 0.6505 0.1250 0.2500
6 Zn 0.5000 0.5000 0.0000
7 Zn 0.2500 0.7500 0.5000
8 Fe 0.0995 0.6250 0.2500

# 6
Compound: ZnFeIr2
Source: the Alexandria database
Functional: PBE
Structure: relaxed

Results
**Energy of formation from the pure elements**: -0.091 eV per atom
**Total energy**: -6.96 eV/atom
**Symmetry**: No. 12

Lattice parameters (Å, degrees): 4.5590 4.5590 4.7479 79.82 79.82 34.98
Last column: magnetic moment on the atom in μB.
Element x y z (fractional)
1 Zn 0.7500 0.7500 0.7500  -0.03
2 Fe 0.2500 0.2500 0.2500  2.81
3 Ir 0.5039 0.5039 0.4959  0.26
4 Ir 0.9961 0.9961 0.0041  0.26